(1)
{
  "formula": "TlCd2SI",
  "functional": "GGA-PBE",
  "state": "optimized geometry",
  "de_polymorph_ev_per_fu": 0.00,
  "formation_energy_uncorrected_ev_per_atom": -0.042,
  "total_energy_ev_per_atom": -2.0164,
  "lattice_angstrom": [[-3.4916, 3.4912, 1.2185], [-5.5196, -3.4002, -6.0743], [-1.9207, -3.1444, 3.5054]],
  "species": ["I", "Tl", "S", "Cd", "Cd"],
  "frac_coords": [[0.0000, 0.5000, 0.0000], [0.5000, 0.5000, 0.5000], [0.0000, 0.0000, 0.0000], [0.0000, 0.0000, 0.5000], [0.5000, 0.0000, 0.0000]]
}

(2)
{
  "formula": "LiZrAg2",
  "functional": "GGA-PBE",
  "state": "optimized geometry",
  "total_energy_ev_per_atom": -3.7468,
  "lattice_angstrom": [[-5.5098, -1.9997, 4.4477], [-0.3050, -6.5564, -3.3255], [-1.0397, -5.3044, 2.4134]],
  "species": ["Zr", "Zr", "Ag", "Ag", "Ag", "Ag", "Li", "Li"],
  "frac_coords": [[0.0000, 0.0000, 0.0000], [0.7500, 0.2500, 0.5000], [0.5803, 0.1250, 0.2500], [0.1697, 0.6250, 0.2500], [0.3750, 0.4197, 0.7500], [0.8750, 0.8303, 0.7500], [0.5000, 0.5000, 0.0000], [0.2500, 0.7500, 0.5000]]
}

(3)
{
  "formula": "AsIr2Se",
  "functional": "GGA-PBE",
  "state": "optimized geometry",
  "de_polymorph_ev_per_fu": 1.34,
  "formation_energy_uncorrected_ev_per_atom": 0.371,
  "total_energy_ev_per_atom": -6.0929,
  "lattice_angstrom": [[2.8747, 0.0029, 0.0000], [-1.4871, 2.4603, 0.0000], [0.0000, 0.0000, 10.1137]],
  "species": ["As", "Ir", "Ir", "Se"],
  "frac_coords": [[0.5000, 0.5000, 0.8004], [0.0000, 0.0000, 0.0080], [0.5000, 0.5000, 0.2412], [0.0000, 0.0000, 0.4504]]
}

(4)
{
  "formula": "Mg3P",
  "functional": "GGA-PBE",
  "state": "optimized geometry",
  "total_energy_ev_per_atom": -2.4758,
  "lattice_angstrom": [[4.8701, 0.0000, 0.0000], [2.4350, 4.2176, 0.0000], [2.4350, 1.4059, 3.9764]],
  "species": ["Mg", "Mg", "Mg", "P"],
  "frac_coords": [[0.0000, 0.0000, 0.0000], [0.2500, 0.2500, 0.2500], [0.5000, 0.5000, 0.5000], [0.7500, 0.7500, 0.7500]]
}

(5)
{
  "formula": "Li7Sn4Pb",
  "functional": "GGA-PBE",
  "state": "optimized geometry",
  "total_energy_ev_per_atom": -2.9868,
  "lattice_angstrom": [[5.0593, 0.0000, 0.0000], [2.5297, 7.9284, 0.1426], [2.5297, 0.3750, 6.6415]],
  "species": ["Li", "Li", "Li", "Li", "Li", "Li", "Li", "Sn", "Sn", "Sn", "Sn", "Pb"],
  "frac_coords": [[0.7813, 0.8592, 0.5781], [0.2187, 0.1408, 0.4219], [0.0544, 0.6376, 0.2536], [0.9456, 0.3624, 0.7464], [0.3422, 0.6024, 0.7131], [0.5000, 0.0000, 0.0000], [0.6578, 0.3976, 0.2869], [0.5708, 0.2086, 0.6498], [0.4292, 0.7914, 0.3502], [0.6971, 0.6470, 0.9588], [0.3029, 0.3530, 0.0412], [0.0000, 0.0000, 0.0000]]
}

(6)
{
  "formula": "Nd2EuIr",
  "functional": "GGA-PBE",
  "state": "optimized geometry",
  "total_energy_ev_per_atom": -7.4439,
  "lattice_angstrom": [[3.6232, 0.0000, 0.0000], [0.0000, 3.6232, 0.0000], [0.0000, 0.0000, 9.5992]],
  "species": ["Eu", "Ir", "Nd", "Nd"],
  "frac_coords": [[0.5000, 0.5000, 0.5000], [0.5000, 0.5000, 0.0000], [0.0000, 0.0000, 0.8282], [0.0000, 0.0000, 0.1718]]
}

(7)
{
  "formula": "Ba2BiPd2",
  "functional": "GGA-PBE",
  "state": "optimized geometry",
  "de_polymorph_ev_per_fu": 0.89,
  "total_energy_ev_per_atom": -4.1208,
  "lattice_angstrom": [[4.0030, 0.0000, 0.0000], [0.0000, 4.0030, 0.0000], [2.0015, 2.0015, 9.8484]],
  "species": ["Bi", "Pd", "Pd", "Ba", "Ba"],
  "frac_coords": [[0.0000, 0.0000, 0.0000], [0.7500, 0.2500, 0.5000], [0.2500, 0.7500, 0.5000], [0.3774, 0.3774, 0.2452], [0.6226, 0.6226, 0.7548]]
}

(8)
{
  "formula": "CaTbCeIn",
  "functional": "GGA-PBE",
  "state": "optimized geometry",
  "total_energy_ev_per_atom": -3.8154,
  "lattice_angstrom": [[-2.7004, 0.7163, 4.7725], [2.4109, -1.3949, 4.7775], [1.6219, 3.9348, 3.5311]],
  "species": ["Ca", "Tb", "Ce", "In"],
  "frac_coords": [[0.0000, 0.0000, 0.0000], [0.5000, 0.5000, 0.5000], [0.2500, 0.2500, 0.2500], [0.7500, 0.7500, 0.7500]]
}

(9)
{
  "formula": "Cd4SbTe",
  "functional": "GGA-PBE",
  "state": "optimized geometry",
  "formation_energy_uncorrected_ev_per_atom": 0.172,
  "total_energy_ev_per_atom": -1.6490,
  "lattice_angstrom": [[0.0000, 4.2368, 4.2368], [4.2368, 0.0000, 4.2368], [4.2368, 4.2368, 0.0000]],
  "species": ["Cd", "Cd", "Cd", "Cd", "Sb", "Te"],
  "frac_coords": [[0.8749, 0.3750, 0.3750], [0.3750, 0.3750, 0.8749], [0.3750, 0.8749, 0.3750], [0.3750, 0.3750, 0.3750], [0.7500, 0.7500, 0.7500], [0.0000, 0.0000, 0.0000]]
}

(10)
{
  "formula": "K4TaAg",
  "functional": "GGA-PBE",
  "state": "optimized geometry",
  "total_energy_ev_per_atom": -1.9586,
  "lattice_angstrom": [[0.0000, 4.9575, 4.9575], [4.9575, 0.0000, 4.9575], [4.9575, 4.9575, 0.0000]],
  "species": ["K", "K", "K", "K", "Ta", "Ag"],
  "frac_coords": [[0.8743, 0.3752, 0.3752], [0.3752, 0.3752, 0.8743], [0.3752, 0.8743, 0.3752], [0.3752, 0.3752, 0.3752], [0.7500, 0.7500, 0.7500], [0.0000, 0.0000, 0.0000]]
}

(11)
{
  "formula": "Rb3PaSe4",
  "functional": "GGA-PBE",
  "state": "optimized geometry",
  "de_polymorph_ev_per_fu": 0.97,
  "formation_energy_uncorrected_ev_per_atom": -1.214,
  "total_energy_ev_per_atom": -4.5061,
  "lattice_angstrom": [[-5.4466, -3.8809, 0.3485], [2.1319, -2.1667, 9.1916], [-6.1495, 8.9480, 3.5357]],
  "species": ["Rb", "Rb", "Rb", "Rb", "Rb", "Rb", "Pa", "Pa", "Se", "Se", "Se", "Se", "Se", "Se", "Se", "Se"],
  "frac_coords": [[0.5625, 0.8355, 0.0000], [0.0633, 0.6720, 0.2317], [0.5633, 0.3280, 0.2683], [0.0625, 0.1645, 0.5000], [0.5633, 0.3280, 0.7317], [0.0633, 0.6720, 0.7683], [0.0120, 0.1793, 0.0000], [0.5120, 0.8207, 0.5000], [0.0659, 0.9061, 0.0000], [0.6137, 0.1838, 0.0000], [0.0673, 0.3112, 0.2027], [0.5673, 0.6888, 0.2973], [0.1137, 0.8162, 0.5000], [0.5659, 0.0939, 0.5000], [0.5673, 0.6888, 0.7027], [0.0673, 0.3112, 0.7973]]
}

(12)
{
  "formula": "Rb3Bi2I9",
  "functional": "GGA-PBE",
  "state": "optimized geometry",
  "de_polymorph_ev_per_fu": 0.04,
  "formation_energy_uncorrected_ev_per_atom": -0.918,
  "total_energy_ev_per_atom": -2.6763,
  "lattice_angstrom": [[-0.9190, 8.2856, -2.2819], [-6.6494, -4.3708, 3.3743], [4.4174, 7.0662, 20.2869]],
  "species": ["Rb", "Rb", "Rb", "Rb", "Rb", "Rb", "Bi", "Bi", "Bi", "Bi", "I", "I", "I", "I", "I", "I", "I", "I", "I", "I", "I", "I", "I", "I", "I", "I", "I", "I"],
  "frac_coords": [[0.9578, 0.0422, 0.7500], [0.6973, 0.2673, 0.0688], [0.0422, 0.9578, 0.2500], [0.2673, 0.6973, 0.5688], [0.3027, 0.7327, 0.9312], [0.7327, 0.3027, 0.4312], [0.6190, 0.3026, 0.6567], [0.3810, 0.6974, 0.3433], [0.3026, 0.6190, 0.1567], [0.6974, 0.3810, 0.8433], [0.5987, 0.7719, 0.0575], [0.4013, 0.2281, 0.9425], [0.4982, 0.0091, 0.7763], [0.2602, 0.9198, 0.4113], [0.9198, 0.2602, 0.9113], [0.7719, 0.5987, 0.5575], [0.7398, 0.0802, 0.5887], [0.2511, 0.1126, 0.6095], [0.5018, 0.9909, 0.2237], [0.9909, 0.5018, 0.7237], [0.0802, 0.7398, 0.0887], [0.0091, 0.4982, 0.2763], [0.4951, 0.5049, 0.7500], [0.8874, 0.7489, 0.8905], [0.1126, 0.2511, 0.1095], [0.7489, 0.8874, 0.3905], [0.5049, 0.4951, 0.2500], [0.2281, 0.4013, 0.4425]]
}